Below is TlIn2PdI after structural relaxation, with properties calculated at the GGA-PBE level.

Geometry as CIF:
```
data_TlIn2PdI
_symmetry_space_group_name_H-M 'P 4/m m m'
_symmetry_Int_Tables_number 123
_symmetry_space_group_name_Hall '-P 4 2'
_cell_length_a 5.3067
_cell_length_b 5.3067
_cell_length_c 5.4684
_cell_angle_alpha 90.00
_cell_angle_beta 90.00
_cell_angle_gamma 90.00
loop_
_atom_site_label
_atom_site_type_symbol
_atom_site_fract_x
_atom_site_fract_y
_atom_site_fract_z
Tl1 Tl 0.0000 0.0000 0.0000
In1 In 0.0000 0.5000 0.5000
Pd1 Pd 0.0000 0.0000 0.5000
I1 I 0.5000 0.5000 0.0000
```

## Properties
- E_form (uncorrected): -163 kJ/mol of formula units
- Total DFT energy (no corrections): -3.254 eV per atom

=====

Below is YCrTc2 after structural relaxation, with properties calculated at the GGA-PBE level.

Geometry as CIF:
```
data_YCrTc2
_symmetry_space_group_name_H-M 'R -3 m'
_symmetry_Int_Tables_number 166
_symmetry_space_group_name_Hall '-R 3 2"'
_cell_length_a 2.9992
_cell_length_b 2.9992
_cell_length_c 25.8905
_cell_angle_alpha 90.00
_cell_angle_beta 90.00
_cell_angle_gamma 120.00
loop_
_atom_site_label
_atom_site_type_symbol
_atom_site_fract_x
_atom_site_fract_y
_atom_site_fract_z
Y1 Y 0.0000 0.0000 0.0000
Cr1 Cr 0.0000 0.0000 0.5000
Tc1 Tc 0.0000 0.0000 0.2361
```

## Properties
- Excess energy over the best structure of this formula in the dataset: 279 meV per atom
- Calculated formation energy: 1.82 eV per formula unit
- Total DFT energy (no corrections): -8.749 eV per atom

=====

Below is Ca7Tl2Hg2 after structural relaxation, with properties calculated at the GGA-PBE level.

Geometry as CIF:
```
data_Ca7Tl2Hg2
_symmetry_space_group_name_H-M 'C m m m'
_symmetry_Int_Tables_number 65
_symmetry_space_group_name_Hall '-C 2 2'
_cell_length_a 8.1772
_cell_length_b 11.8317
_cell_length_c 7.9779
_cell_angle_alpha 90.00
_cell_angle_beta 90.00
_cell_angle_gamma 90.00
loop_
_atom_site_label
_atom_site_type_symbol
_atom_site_fract_x
_atom_site_fract_y
_atom_site_fract_z
Ca1 Ca 0.0000 0.0000 0.0000
Ca2 Ca 0.0000 0.5000 0.2492
Ca3 Ca 0.2500 0.2500 0.2789
Tl1 Tl 0.1808 0.0000 0.5000
Hg1 Hg 0.0000 0.2910 0.0000
```

## Properties
- Calculated formation energy: -2.53 eV per formula unit
- Total DFT energy (no corrections): -1.989 eV per atom

=====

Below is Pr4PSe2S after structural relaxation, with properties calculated at the GGA-PBE level.

Geometry as CIF:
```
data_Pr4PSe2S
_symmetry_space_group_name_H-M 'P 1 2/m 1'
_symmetry_Int_Tables_number 10
_symmetry_space_group_name_Hall '-P 2y'
_cell_length_a 7.2469
_cell_length_b 4.1833
_cell_length_c 7.3939
_cell_angle_alpha 90.00
_cell_angle_beta 109.02
_cell_angle_gamma 90.00
loop_
_atom_site_label
_atom_site_type_symbol
_atom_site_fract_x
_atom_site_fract_y
_atom_site_fract_z
Pr1 Pr 0.2399 0.0000 0.2294
Pr2 Pr 0.2530 0.5000 0.7705
P1 P 0.0000 0.5000 0.0000
Se1 Se 0.0000 0.0000 0.5000
Se2 Se 0.5000 0.5000 0.5000
S1 S 0.5000 0.0000 0.0000
```

## Properties
- E_form (uncorrected): -1439 kJ/mol of formula units
- Total DFT energy (no corrections): -6.318 eV per atom

=====

Below is UPdAu after structural relaxation, with properties calculated at the GGA-PBE level.

Geometry as CIF:
```
data_UPdAu
_symmetry_space_group_name_H-M 'C 1 2/m 1'
_symmetry_Int_Tables_number 12
_symmetry_space_group_name_Hall '-C 2y'
_cell_length_a 4.9660
_cell_length_b 4.8290
_cell_length_c 9.3646
_cell_angle_alpha 90.00
_cell_angle_beta 94.67
_cell_angle_gamma 90.00
loop_
_atom_site_label
_atom_site_type_symbol
_atom_site_fract_x
_atom_site_fract_y
_atom_site_fract_z
U1 U 0.2084 0.0000 0.0844
Pd1 Pd 0.2021 0.5000 0.2550
Au1 Au 0.2358 0.0000 0.4187
```

## Properties
- Excess energy over the best structure of this formula in the dataset: 57 meV per atom
- Calculated formation energy: -0.75 eV per formula unit
- Total DFT energy (no corrections): -6.835 eV per atom

=====

Below is HfZrCrMo after structural relaxation, with properties calculated at the GGA-PBE level.

Geometry as CIF:
```
data_HfZrCrMo
_symmetry_space_group_name_H-M 'F -4 3 m'
_symmetry_Int_Tables_number 216
_symmetry_space_group_name_Hall 'F -4 2 3'
_cell_length_a 6.6522
_cell_length_b 6.6522
_cell_length_c 6.6522
_cell_angle_alpha 90.00
_cell_angle_beta 90.00
_cell_angle_gamma 90.00
loop_
_atom_site_label
_atom_site_type_symbol
_atom_site_fract_x
_atom_site_fract_y
_atom_site_fract_z
Hf1 Hf 0.0000 0.0000 0.0000
Zr1 Zr 0.0000 0.0000 0.5000
Cr1 Cr 0.2500 0.2500 0.7500
Mo1 Mo 0.2500 0.2500 0.2500
```

## Properties
- Calculated formation energy: 0.29 eV per formula unit
- Total DFT energy (no corrections): -9.665 eV per atom

=====

Below is Ba6Na2Ag after structural relaxation, with properties calculated at the GGA-PBE level.

Geometry as CIF:
```
data_Ba6Na2Ag
_symmetry_space_group_name_H-M 'I m m m'
_symmetry_Int_Tables_number 71
_symmetry_space_group_name_Hall '-I 2 2'
_cell_length_a 11.5834
_cell_length_b 12.2169
_cell_length_c 12.9346
_cell_angle_alpha 90.00
_cell_angle_beta 90.00
_cell_angle_gamma 90.00
loop_
_atom_site_label
_atom_site_type_symbol
_atom_site_fract_x
_atom_site_fract_y
_atom_site_fract_z
Ba1 Ba 0.0000 0.1705 0.2361
Ba2 Ba 0.1711 0.5000 0.2348
Ba3 Ba 0.2224 0.3129 0.5000
Na1 Na 0.0000 0.3671 0.0000
Na2 Na 0.1347 0.0000 0.5000
Ag1 Ag 0.0000 0.0000 0.0000
Ag2 Ag 0.0000 0.5000 0.5000
```

## Properties
- Excess energy over the best structure of this formula in the dataset: 30 meV per atom
- Calculated formation energy: 0.08 eV per formula unit
- Total DFT energy (no corrections): -1.883 eV per atom

=====

Below is Rb4Tb3SnS8 after structural relaxation, with properties calculated at the GGA-PBE level.

Geometry as CIF:
```
data_Rb4Tb3SnS8
_symmetry_space_group_name_H-M 'R -3 m'
_symmetry_Int_Tables_number 166
_symmetry_space_group_name_Hall '-R 3 2"'
_cell_length_a 8.2013
_cell_length_b 8.2013
_cell_length_c 23.0227
_cell_angle_alpha 90.00
_cell_angle_beta 90.00
_cell_angle_gamma 120.00
loop_
_atom_site_label
_atom_site_type_symbol
_atom_site_fract_x
_atom_site_fract_y
_atom_site_fract_z
Rb1 Rb 0.0000 0.0000 0.0000
Rb2 Rb 0.0000 0.5000 0.0000
Tb1 Tb 0.0000 0.5000 0.5000
Sn1 Sn 0.0000 0.0000 0.5000
S1 S 0.0000 0.0000 0.2311
S2 S 0.0005 0.5003 0.2305
```

## Properties
- E_form (uncorrected): -2412 kJ/mol of formula units
- Total DFT energy (no corrections): -4.986 eV per atom

=====

Below is CeNdEuHo after structural relaxation, with properties calculated at the GGA-PBE level.

Geometry as CIF:
```
data_CeNdEuHo
_symmetry_space_group_name_H-M 'F -4 3 m'
_symmetry_Int_Tables_number 216
_symmetry_space_group_name_Hall 'F -4 2 3'
_cell_length_a 8.2087
_cell_length_b 8.2087
_cell_length_c 8.2087
_cell_angle_alpha 90.00
_cell_angle_beta 90.00
_cell_angle_gamma 90.00
loop_
_atom_site_label
_atom_site_type_symbol
_atom_site_fract_x
_atom_site_fract_y
_atom_site_fract_z
Ce1 Ce 0.0000 0.0000 0.0000
Nd1 Nd 0.2500 0.2500 0.7500
Eu1 Eu 0.0000 0.0000 0.5000
Ho1 Ho 0.2500 0.2500 0.2500
```

## Properties
- Calculated formation energy: 0.93 eV per formula unit
- Total DFT energy (no corrections): -6.157 eV per atom

=====

Below is LiIn3Cl after structural relaxation, with properties calculated at the GGA-PBE level.

Geometry as CIF:
```
data_LiIn3Cl
_symmetry_space_group_name_H-M 'P m -3 m'
_symmetry_Int_Tables_number 221
_symmetry_space_group_name_Hall '-P 4 2 3'
_cell_length_a 5.6979
_cell_length_b 5.6979
_cell_length_c 5.6979
_cell_angle_alpha 90.00
_cell_angle_beta 90.00
_cell_angle_gamma 90.00
loop_
_atom_site_label
_atom_site_type_symbol
_atom_site_fract_x
_atom_site_fract_y
_atom_site_fract_z
Li1 Li 0.0000 0.0000 0.0000
In1 In 0.0000 0.5000 0.5000
Cl1 Cl 0.5000 0.5000 0.5000
```

## Properties
- Excess energy over the best structure of this formula in the dataset: 189 meV per atom
- E_form (uncorrected): 38 kJ/mol of formula units
- Total DFT energy (no corrections): -2.316 eV per atom